Material: HoLu
Method: DFT, PBE-GGA
State: optimized geometry

Lattice parameters (Å, degrees): 3.506 3.506 11.071 90.00 90.00 120.00
Positions (direct):
Lu 0.000 0.000 0.500
Lu 0.000 0.000 0.000
Ho 0.667 0.333 0.750
Ho 0.333 0.667 0.250

Results
DFT formation energy: 0.021 eV per atom
Energy above the lowest structure with this stoichiometry: 20.9 meV per atom
Crystal system: hexagonal



Material: HoLu
Method: DFT, PBE-GGA
State: optimized geometry

Lattice parameters (Å, degrees): 5.136 5.136 5.136 60.00 60.00 60.00
Positions (direct):
Lu 0.250 0.250 0.250
Ho 0.000 0.000 0.000

Results
DFT formation energy: 1.991 eV per atom
Energy above the lowest structure with this stoichiometry: 1990.6 meV per atom
Crystal system: cubic



Material: Ho3Lu
Method: DFT, PBE-GGA
State: optimized geometry

Lattice parameters (Å, degrees): 5.538 7.135 7.135 120.01 90.00 90.00
Positions (direct):
Ho 0.250 0.667 0.334
Ho 0.250 0.667 0.833
Ho 0.750 0.833 0.166
Ho 0.750 0.833 0.667
Ho 0.250 0.166 0.833
Ho 0.750 0.334 0.667
Lu 0.250 0.167 0.333
Lu 0.750 0.333 0.167

Results
DFT formation energy: 0.002 eV per atom
Crystal system: orthorhombic



Number 1: raw total energy -4.53 eV per atom. Number 2: raw total energy -2.56 eV per atom. Number 3: raw total energy -4.56 eV per atom.